The following is a GGA-PBE calculation of a relaxed structure of YTm2Sb, from the Alexandria database.

Lattice parameters (Å, degrees): 3.9694 3.9694 28.1244 90.00 90.00 120.00
Space group R3m (No. 160, hexagonal axes)
One atom of each set of equivalent atoms:
Y  0.0000  0.0000  0.0000 [3 per cell]
Tm  0.0000  0.0000  0.5673 [3 per cell]
Tm  0.0000  0.0000  0.7649 [3 per cell]
Sb  0.0000  0.0000  0.1655 [3 per cell]

Output
DOS(E_F)   4.6 states/eV/f.u.
M_tot   0.164 μB/atom
Raw formation energy   -0.305 eV per atom
Final energy   -5.188 eV/atom